A relaxed structure of Rb2Sn2Cl. Source: the Alexandria database, functional PBE.

Unit cell a=10.8008 b=10.8008 c=10.8008 alpha=157.33 beta=157.33 gamma=32.28
Closest atoms and distances in Å follow each position.
Element x y z (fractional)
Rb (0.0909, 0.0909, 0.0000)  4 Cl 3.55, 1 Rb 3.77, 4 Sn 3.92
Rb (0.9091, 0.9091, 0.0000)  4 Cl 3.55, 1 Rb 3.77, 4 Sn 3.92
Sn (0.2500, 0.7500, 0.5000)  4 Sn 3.00
Sn (0.7500, 0.2500, 0.5000)  4 Sn 3.00
Cl (0.5000, 0.5000, 0.0000)  8 Rb 3.55

VASP energy (eV per atom): -3.128

=====

A relaxed structure of PaTaP2. Source: the Alexandria database, functional PBE.

Unit cell a=7.2794 b=7.2794 c=7.2794 alpha=27.99 beta=27.99 gamma=27.99
Closest atoms and distances in Å follow each position.
Element x y z (fractional)
Pa (0.0000, 0.0000, 0.0000)  6 P 2.81-2.86
Ta (0.8295, 0.8295, 0.8295)  6 P 2.52-2.57
P (0.4255, 0.4255, 0.4255)  3 Ta 2.52, 3 Pa 2.81
P (0.5709, 0.5709, 0.5709)  3 Ta 2.57, 3 Pa 2.86

VASP energy (eV per atom): -8.935
Energy relative to the elements (eV/atom): -0.8927

=====

A relaxed structure of Tb3Er4Al4. Source: the Alexandria database, functional PBE.

Unit cell a=9.4439 b=9.4439 c=9.4439 alpha=148.59 beta=138.17 gamma=53.23
Closest atoms and distances in Å follow each position.
Element x y z (fractional)
Tb (0.0000, 0.0000, 0.0000)  6 Al 2.95-3.25
Tb (0.3991, 0.8991, 0.5000)  6 Al 3.36-3.60, 4 Er 3.39, 1 Tb 3.41
Tb (0.6009, 0.1009, 0.5000)  6 Al 3.36-3.60, 4 Er 3.39, 1 Tb 3.41
Er (0.0550, 0.3201, 0.7350)  4 Al 3.01-3.07, 1 Er 3.17
Er (0.4149, 0.6799, 0.7350)  4 Al 3.01-3.07, 1 Er 3.17
Er (0.5851, 0.3201, 0.2650)  4 Al 3.01-3.07, 1 Er 3.17
Er (0.9450, 0.6799, 0.2650)  4 Al 3.01-3.07, 1 Er 3.17
Al (0.1749, 0.1749, 0.0000)  1 Tb 2.95, 6 Er 3.01-3.03
Al (0.2974, 0.5000, 0.7974)  1 Al 2.73
Al (0.7026, 0.5000, 0.2026)  1 Al 2.73
Al (0.8251, 0.8251, 0.0000)  1 Tb 2.95, 6 Er 3.01-3.03

VASP energy (eV per atom): -4.472
Energy relative to the elements (eV/atom): -0.1886

=====

A relaxed structure of Ca2ZnAg. Source: the Alexandria database, functional PBE.

Unit cell a=7.5289 b=7.5289 c=7.5289 alpha=34.50 beta=34.50 gamma=34.50
Closest atoms and distances in Å follow each position.
Element x y z (fractional)
Ca (0.0000, 0.0000, 0.0000)  3 Zn 3.21, 3 Ag 3.25
Ca (0.1833, 0.1833, 0.1833)  3 Ag 3.21, 3 Zn 3.25
Zn (0.4236, 0.4236, 0.4236)  3 Ag 2.58
Ag (0.7596, 0.7596, 0.7596)  3 Zn 2.58

VASP energy (eV per atom): -2.231
Energy relative to the elements (eV/atom): -0.1991

=====

A relaxed structure of K2AcNpS4. Source: the Alexandria database, functional PBE.

Unit cell a=7.4346 b=4.2712 c=7.7971 alpha=90.00 beta=108.52 gamma=90.00
Closest atoms and distances in Å follow each position.
Element x y z (fractional)
K (0.0000, 0.0000, 0.0000)  6 S 3.35
K (0.5000, 0.5000, 0.0000)  6 S 3.22-3.23
Ac (0.0000, 0.5000, 0.5000)  6 S 2.97-2.99
Np (0.5000, 0.0000, 0.5000)  6 S 2.84
S (0.2518, 0.0000, 0.7125)  1 Np 2.84, 2 Ac 2.97
S (0.2806, 0.5000, 0.2975)  2 Np 2.84, 1 Ac 2.99
S (0.7194, 0.5000, 0.7025)  2 Np 2.84, 1 Ac 2.99
S (0.7482, 0.0000, 0.2875)  1 Np 2.84, 2 Ac 2.97

VASP energy (eV per atom): -6.084

=====

A relaxed structure of Li3Ga3AgPd2. Source: the Alexandria database, functional PBE.

Unit cell a=7.4710 b=7.4710 c=2.8004 alpha=90.00 beta=90.00 gamma=120.00
Closest atoms and distances in Å follow each position.
Element x y z (fractional)
Li (0.0000, 0.6981, 0.0000)  2 Pd 2.62, 2 Ag 2.65, 2 Li 2.80, 6 Ga 2.81-2.91
Li (0.3019, 0.3019, 0.0000)  2 Pd 2.62, 2 Ag 2.65, 2 Li 2.80, 6 Ga 2.81-2.91
Li (0.6981, 0.0000, 0.0000)  2 Pd 2.62, 2 Ag 2.65, 2 Li 2.80, 6 Ga 2.81-2.91
Ga (0.0000, 0.3716, 0.5000)  4 Pd 2.74, 1 Ag 2.78, 2 Ga 2.80, 6 Li 2.81-2.91
Ga (0.3716, 0.0000, 0.5000)  4 Pd 2.74, 1 Ag 2.78, 2 Ga 2.80, 6 Li 2.81-2.91
Ga (0.6284, 0.6284, 0.5000)  4 Pd 2.74, 1 Ag 2.78, 2 Ga 2.80, 6 Li 2.81-2.91
Ag (0.0000, 0.0000, 0.5000)  6 Li 2.65, 3 Ga 2.78, 2 Ag 2.80
Pd (0.3333, 0.6667, 0.0000)  3 Li 2.62, 6 Ga 2.74, 2 Pd 2.80
Pd (0.6667, 0.3333, 0.0000)  3 Li 2.62, 6 Ga 2.74, 2 Pd 2.80

VASP energy (eV per atom): -3.553
Energy relative to the elements (eV/atom): -0.4350

=====

A relaxed structure of V3FeB. Source: the Alexandria database, functional PBE.

Unit cell a=4.1924 b=4.1924 c=4.1924 alpha=90.00 beta=90.00 gamma=90.00
Closest atoms and distances in Å follow each position.
Element x y z (fractional)
V (0.0000, 0.0000, 0.5000)  2 Fe 2.10
V (0.0000, 0.5000, 0.0000)  2 Fe 2.10
V (0.5000, 0.0000, 0.0000)  2 Fe 2.10
Fe (0.0000, 0.0000, 0.0000)  6 V 2.10
B (0.5000, 0.5000, 0.5000)  12 V 2.96

VASP energy (eV per atom): -7.231
Energy relative to the elements (eV/atom): 1.2680

=====

A relaxed structure of Pr2CdPd5Pt2. Source: the Alexandria database, functional PBE.

Unit cell a=9.6578 b=9.6578 c=4.2108 alpha=90.00 beta=90.00 gamma=90.00
Closest atoms and distances in Å follow each position.
Element x y z (fractional)
Pr (0.1707, 0.3293, 0.0000)  3 Pt 2.78-2.90
Pr (0.3293, 0.8293, 0.0000)  3 Pt 2.78-2.90
Pr (0.6707, 0.1707, 0.0000)  3 Pt 2.78-2.90
Pr (0.8293, 0.6707, 0.0000)  3 Pt 2.78-2.90
Cd (0.0000, 0.0000, 0.0000)  8 Pd 2.94
Cd (0.5000, 0.5000, 0.0000)  8 Pd 2.94
Pd (0.0000, 0.5000, 0.5000)  4 Pt 2.72, 4 Pd 2.95
Pd (0.0657, 0.7987, 0.5000)  2 Pt 2.75, 3 Pd 2.89-2.95, 2 Cd 2.94
Pd (0.2013, 0.0657, 0.5000)  2 Pt 2.75, 3 Pd 2.89-2.95, 2 Cd 2.94
Pd (0.2987, 0.5657, 0.5000)  2 Pt 2.75, 3 Pd 2.89-2.95, 2 Cd 2.94
Pd (0.4343, 0.2987, 0.5000)  2 Pt 2.75, 3 Pd 2.89-2.95, 2 Cd 2.94
Pd (0.5000, 0.0000, 0.5000)  4 Pt 2.72, 4 Pd 2.95
Pd (0.5657, 0.7013, 0.5000)  2 Pt 2.75, 3 Pd 2.89-2.95, 2 Cd 2.94
Pd (0.7013, 0.4343, 0.5000)  2 Pt 2.75, 3 Pd 2.89-2.95, 2 Cd 2.94
Pd (0.7987, 0.9343, 0.5000)  2 Pt 2.75, 3 Pd 2.89-2.95, 2 Cd 2.94
Pd (0.9343, 0.2013, 0.5000)  2 Pt 2.75, 3 Pd 2.89-2.95, 2 Cd 2.94
Pt (0.1259, 0.6259, 0.0000)  6 Pd 2.72-2.75, 3 Pr 2.78-2.90
Pt (0.3741, 0.1259, 0.0000)  6 Pd 2.72-2.75, 3 Pr 2.78-2.90
Pt (0.6259, 0.8741, 0.0000)  6 Pd 2.72-2.75, 3 Pr 2.78-2.90
Pt (0.8741, 0.3741, 0.0000)  6 Pd 2.72-2.75, 3 Pr 2.78-2.90

VASP energy (eV per atom): -5.522
Energy relative to the elements (eV/atom): -0.6702